Zn2BF after structural relaxation. Source: the Alexandria database, functional PBE.

As for the total DFT energy (no corrections): -2.94 eV/atom. As for the energy above the most stable polymorph in this dataset: 0.00 kJ per mole of atoms.

The space group is I-42d (No. 122) and the conventional cell measures 5.2392, 5.2392 and 8.8839 Å, with angles of 90.00, 90.00 and 90.00 degrees. The asymmetric unit holds Zn at (0.2274, 0.2500, 0.1250), B at (0.0000, 0.0000, 0.0000) and F at (0.0000, 0.0000, 0.5000).

Rb3SbAu after structural relaxation. Source: the Alexandria database, functional PBE.

As for the total DFT energy (no corrections): -2.15 eV/atom. As for the energy above the most stable polymorph in this dataset: 21.74 kJ per mole of atoms.

The space group is Pm-3m (No. 221) and the conventional cell measures 6.4203, 6.4203 and 6.4203 Å, with angles of 90.00, 90.00 and 90.00 degrees. The asymmetric unit holds Rb at (0.0000, 0.0000, 0.5000), Sb at (0.5000, 0.5000, 0.5000) and Au at (0.0000, 0.0000, 0.0000).

Ce6ScSn10 after structural relaxation. Source: the Alexandria database, functional PBE.

As for the total DFT energy (no corrections): -5.35 eV/atom.

The space group is P-31m (No. 162) and the conventional cell measures 9.2827, 9.2827 and 6.2756 Å, with angles of 90.00, 90.00 and 120.00 degrees. The asymmetric unit holds Ce at (0.0000, 0.3897, 0.2619), Sc at (0.0000, 0.0000, 0.5000), Sn at (0.0000, 0.2474, 0.7976), Sn at (0.3333, 0.6667, 0.0000) and Sn at (0.3333, 0.6667, 0.5000).

SrZrAgHg2 after structural relaxation. Source: the Alexandria database, functional PBE.

As for the total DFT energy (no corrections): -1.51 eV/atom.

The space group is P4/mmm (No. 123) and the conventional cell measures 5.8654, 5.8654 and 6.0970 Å, with angles of 90.00, 90.00 and 90.00 degrees. The asymmetric unit holds Sr at (0.0000, 0.0000, 0.0000), Zr at (0.0000, 0.0000, 0.5000), Ag at (0.5000, 0.5000, 0.5000) and Hg at (0.0000, 0.5000, 0.0000).